(1)
A relaxed TaCoBr2 crystal, computed with PBE.

The structure in POSCAR format:
```
TaCoBr2
1.0
-4.883 -3.251 -0.602
1.271 -0.855 -5.695
0.768 -6.139 -1.961
Co Br Ta
2 4 2
direct
0.500 0.500 0.000
0.250 0.750 0.500
0.591 0.125 0.250
0.159 0.625 0.250
0.875 0.841 0.750
0.375 0.409 0.750
0.750 0.250 0.500
0.000 0.000 0.000
```

Computed properties:
Fermi-level density of states = 0.3421 states/eV/atom
distance to the lowest polymorph of the same formula = 1.1394 eV/atom
crystal system = tetragonal


(2)
A relaxed CaRe2Pb crystal, computed with PBE.

The structure in POSCAR format:
```
CaRe2Pb
1.0
8.097 0.000 0.000
0.000 8.097 0.000
4.048 4.048 2.724
Re Pb Ca
4 2 2
direct
0.092 0.625 0.250
0.658 0.125 0.250
0.875 0.908 0.750
0.375 0.342 0.750
0.000 0.000 0.000
0.750 0.250 0.500
0.250 0.750 0.500
0.500 0.500 0.000
```

Computed properties:
Fermi-level density of states = 1.1728 states/eV/atom
crystal system = tetragonal
energy of formation = 1.477 eV per atom


(3)
A relaxed RbMo3Cl crystal, computed with PBE.

The structure in POSCAR format:
```
RbMo3Cl
1.0
-4.443 1.007 -0.913
-1.233 -4.302 1.252
-0.574 1.439 4.381
Mo Cl Rb
3 1 1
direct
0.000 0.500 0.000
0.000 0.000 0.500
0.500 0.000 0.000
0.000 0.000 0.000
0.500 0.500 0.500
```

Computed properties:
Fermi-level density of states = 0.8627 states/eV/atom
distance to the lowest polymorph of the same formula = 0.0000 eV/atom
crystal system = cubic


(4)
A relaxed Sb2TeOs crystal, computed with PBE.

The structure in POSCAR format:
```
Sb2TeOs
1.0
-0.203 -2.861 -1.361
3.167 -0.144 -0.168
0.267 -4.074 8.526
Te Sb Os
1 2 1
direct
0.000 0.000 0.570
0.500 0.500 0.241
0.000 0.000 0.941
0.500 0.500 0.748
```

Computed properties:
Fermi-level density of states = 0.8770 states/eV/atom
crystal system = tetragonal
electronic total energy = -5.2795 eV/atom


(5)
A relaxed Ac5La8Tm crystal, computed with PBE.

The structure in POSCAR format:
```
Ac5La8Tm
1.0
-9.256 -1.534 -3.851
5.443 -7.297 -1.185
-0.176 0.545 7.434
La Tm Ac
8 1 5
direct
0.765 0.330 0.450
0.064 0.747 0.951
0.623 0.624 0.198
0.762 0.325 0.940
0.920 0.041 0.701
0.471 0.880 0.938
0.058 0.739 0.445
0.329 0.172 0.441
0.196 0.444 0.692
0.617 0.615 0.700
0.199 0.453 0.193
0.907 0.042 0.202
0.492 0.911 0.455
0.348 0.177 0.945
```

Computed properties:
Fermi-level density of states = 1.6363 states/eV/atom
crystal system = triclinic
energy of formation = 0.061 eV per atom


(6)
A relaxed PmHo2Ir3 crystal, computed with PBE.

The structure in POSCAR format:
```
PmHo2Ir3
1.0
4.876 0.000 0.000
-2.438 4.223 0.000
0.000 0.000 5.986
Ho Ir Pm
2 3 1
direct
0.333 0.667 0.665
0.667 0.333 0.335
0.333 0.667 0.175
0.000 0.000 0.500
0.667 0.333 0.825
0.000 0.000 0.000
```

Computed properties:
Fermi-level density of states = 0.4779 states/eV/atom
crystal system = trigonal
energy of formation = -0.754 eV per atom


In μB per formula unit, the M_tot values for the records above are, in order, 0.00, 0.46, 0.00, 0.00, 0.00, 0.00.